Entry 1:
Nd7YIn2 | GGA-PBE | relaxed

```
Nd7YIn2
1.0
-1.159 1.296 5.151
3.740 -8.029 2.862
5.357 7.580 -0.702
In Nd Y
2 7 1
Cartesian
4.284 3.468 2.960 In
3.654 -2.621 4.351 In
6.671 -1.605 4.774 Nd
3.969 0.423 3.656 Nd
4.995 4.083 0.096 Nd
1.267 2.452 2.537 Nd
7.062 2.166 3.913 Nd
0.876 -1.319 3.398 Nd
4.102 -4.532 2.063 Nd
0.000 0.000 0.000 Y
```

Output
density of states at the Fermi level: 20.4 states/eV per cell
DFT formation energy: 0.3135 eV/atom
symmetry: Cmmm (65)
calculated total energy: -4.218 eV per atom


Entry 2:
CsTlOs2 | GGA-PBE | relaxed

```
CsTlOs2
1.0
0.000 3.463 3.463
3.463 0.000 3.463
3.463 3.463 0.000
Cs Os Tl
1 2 1
Cartesian
0.000 0.000 0.000 Cs
5.194 5.194 5.194 Os
1.731 1.731 1.731 Os
3.463 3.463 3.463 Tl
```

Output
density of states at the Fermi level: 3.5 states/eV per cell
DFT formation energy: 2.2427 eV/atom
symmetry: Fm-3m (225)
calculated total energy: -4.177 eV per atom


Entry 3:
RbSr2Bi2 | GGA-PBE | relaxed

```
RbSr2Bi2
1.0
-0.861 5.037 2.674
-5.683 -0.537 -0.819
-3.842 -1.120 7.091
Rb Sr Bi
1 2 2
Cartesian
0.000 0.000 0.000 Rb
-3.988 3.083 5.346 Sr
-6.399 0.296 3.600 Sr
-3.408 1.444 2.400 Bi
-6.978 1.935 6.546 Bi
```

Output
density of states at the Fermi level: 4.3 states/eV per cell
DFT formation energy: -0.5613 eV/atom
symmetry: I4/mmm (139)
calculated total energy: -2.980 eV per atom


Among the records above, which one has the lowest calculated total energy? Nd7YIn2


Among the records above, which one has the highest DFT formation energy? CsTlOs2


Repeat the first record exactly.
Nd7YIn2 | GGA-PBE | relaxed

```
Nd7YIn2
1.0
-1.159 1.296 5.151
3.740 -8.029 2.862
5.357 7.580 -0.702
In Nd Y
2 7 1
Cartesian
4.284 3.468 2.960 In
3.654 -2.621 4.351 In
6.671 -1.605 4.774 Nd
3.969 0.423 3.656 Nd
4.995 4.083 0.096 Nd
1.267 2.452 2.537 Nd
7.062 2.166 3.913 Nd
0.876 -1.319 3.398 Nd
4.102 -4.532 2.063 Nd
0.000 0.000 0.000 Y
```

Output
density of states at the Fermi level: 20.4 states/eV per cell
DFT formation energy: 0.3135 eV/atom
symmetry: Cmmm (65)
calculated total energy: -4.218 eV per atom